This record from Alexandria describes a relaxed LiSbMo2O6 crystal. The functional is PBE+U.

abc: 5.5516 5.6083 5.7273
angles: 60.86 60.67 61.48
Last column: magnetic moment on the atom in μB.
Fractional positions:
Li: 0.8369 0.7441 0.5933  0.00
Sb: 0.3369 0.3059 0.0867  0.01
Mo: 0.5146 0.5213 0.4461  1.91
Mo: 0.0206 0.0141 0.9619  1.94
O: 0.6590 0.2856 0.2002  0.01
O: 0.2227 0.8575 0.2403  0.02
O: 0.8223 0.7039 0.2359  -0.03
O: 0.3673 0.7063 0.7622  0.01
O: 0.7116 0.1660 0.7645  0.01
O: 0.1697 0.3569 0.7240  -0.02

## Properties
SG: No. 1
Raw total energy, eV per atom: -6.571
M_tot, μB/atom: 0.40
Calculated volume, Å³ per cell: 128.9